1.
A relaxed SrMg2B crystal. Source: Alexandria, functional GGA-PBEsol.

N(E_F) (states/eV per cell): 11.37
Energy of formation (kJ per mole of atoms): 56.1
Electronic total energy (Ry per atom): -0.18314
ρ (g/cm3): 2.1

Lattice parameters (Å, degrees): 6.3402 6.3402 11.7910 90.00 90.00 90.00
Last column: nearest neighbours and their distance in Å.
Space group I4_1/amd (No. 141, origin choice 2)
Asymmetric unit:
Sr  0.0000  0.2500  0.3750 [4 per cell]  8 Mg 3.84
Mg  0.0000  0.0000  0.0000 [8 per cell]  2 B 2.16
B  0.0000  0.2500  0.8750 [4 per cell]  4 Mg 2.16


2.
A relaxed MgTc2B2 crystal. Source: Alexandria, functional GGA-PBEsol.

N(E_F) (states/eV per cell): 1.46
Energy of formation (kJ per mole of atoms): -33.9
Electronic total energy (Ry per atom): -0.58859
ρ (g/cm3): 7.7

Lattice parameters (Å, degrees): 5.8550 5.8550 3.0543 90.00 90.00 90.00
Last column: nearest neighbours and their distance in Å.
Space group P4/mbm (No. 127)
Asymmetric unit:
Mg  0.0000  0.0000  0.0000 [2 per cell]  4 B 2.36
Tc  0.1708  0.3292  0.5000 [4 per cell]  6 B 2.28-2.36
B  0.1124  0.6124  0.0000 [4 per cell]  1 B 1.86


3.
A relaxed Mg2BTe crystal. Source: Alexandria, functional GGA-PBEsol.

N(E_F) (states/eV per cell): 9.26
Energy relative to the elements, uncorrected (meV/atom): 587
Electronic total energy (Ry per atom): -0.21367
ρ (g/cm3): 4.1

Lattice parameters (Å, degrees): 6.7271 6.7271 6.7271 90.00 90.00 90.00
Last column: nearest neighbours and their distance in Å.
Space group Fm-3m (No. 225)
Asymmetric unit:
Mg  0.2500  0.2500  0.2500 [8 per cell]  4 Te 2.91, 4 B 2.91
B  0.0000  0.0000  0.0000 [4 per cell]  8 Mg 2.91
Te  0.0000  0.0000  0.5000 [4 per cell]  8 Mg 2.91


4.
A relaxed MgBTe2 crystal. Source: Alexandria, functional GGA-PBEsol.

N(E_F) (states/eV per cell): 5.03
Energy relative to the elements, uncorrected (meV/atom): 349
Electronic total energy (Ry per atom): -0.26437
ρ (g/cm3): 4.0

Lattice parameters (Å, degrees): 4.3900 4.3900 21.4014 90.00 90.00 120.00
Last column: nearest neighbours and their distance in Å.
Space group R-3m (No. 166, hexagonal axes)
Asymmetric unit:
Mg  0.0000  0.0000  0.0000 [3 per cell]  6 Te 2.95
B  0.0000  0.0000  0.5000 [3 per cell]  2 Te 2.05
Te  0.0000  0.0000  0.4042 [6 per cell]  1 B 2.05


5.
A relaxed MgBW2 crystal. Source: Alexandria, functional GGA-PBEsol.

N(E_F) (states/eV per cell): 15.34
Energy of formation (kJ per mole of atoms): 110.9
Electronic total energy (Ry per atom): -0.58343
ρ (g/cm3): 12.6

Lattice parameters (Å, degrees): 5.9611 5.9611 5.9611 90.00 90.00 90.00
Last column: nearest neighbours and their distance in Å.
Space group Fm-3m (No. 225)
Asymmetric unit:
Mg  0.0000  0.0000  0.0000 [4 per cell]  8 W 2.58
B  0.0000  0.0000  0.5000 [4 per cell]  8 W 2.58
W  0.2500  0.2500  0.2500 [8 per cell]  4 Mg 2.58, 4 B 2.58


6.
A relaxed YMgZnB2 crystal. Source: Alexandria, functional GGA-PBEsol.

N(E_F) (states/eV per cell): 2.23
Energy of formation (kJ per mole of atoms): 84.2
Electronic total energy (Ry per atom): -0.29094
ρ (g/cm3): 4.3

Lattice parameters (Å, degrees): 4.1755 4.1755 4.4564 90.00 90.00 90.00
Last column: nearest neighbours and their distance in Å.
Space group P4/mmm (No. 123)
Asymmetric unit:
Y  0.0000  0.0000  0.0000 [1 per cell]  4 Mg 2.95, 8 B 3.05
Mg  0.5000  0.5000  0.0000 [1 per cell]  2 Zn 2.23
Zn  0.5000  0.5000  0.5000 [1 per cell]  4 B 2.09, 2 Mg 2.23
B  0.0000  0.5000  0.5000 [2 per cell]  2 Zn 2.09


7.
A relaxed MgZn3B crystal. Source: Alexandria, functional GGA-PBEsol.

N(E_F) (states/eV per cell): 2.23
Energy of formation (kJ per mole of atoms): 156.5
Electronic total energy (Ry per atom): -0.07893
ρ (g/cm3): 3.4

Lattice parameters (Å, degrees): 4.8444 4.8444 4.8444 90.00 90.00 90.00
Last column: nearest neighbours and their distance in Å.
Space group Pm-3m (No. 221)
Asymmetric unit:
Mg  0.0000  0.0000  0.0000 [1 per cell]  6 Zn 2.42
Zn  0.0000  0.0000  0.5000 [3 per cell]  2 Mg 2.42
B  0.5000  0.5000  0.5000 [1 per cell]  12 Zn 3.43


8.
A relaxed Mg6ZnB crystal. Source: Alexandria, functional GGA-PBEsol.

N(E_F) (states/eV per cell): 7.24
Energy of formation (kJ per mole of atoms): 18.4
Electronic total energy (Ry per atom): -0.15964
ρ (g/cm3): 2.4

Lattice parameters (Å, degrees): 3.6840 8.3885 9.7723 90.00 90.00 90.00
Last column: nearest neighbours and their distance in Å.
Space group Amm2 (No. 38)
Asymmetric unit:
Mg  0.0000  0.0000  0.0000 [2 per cell]  2 B 2.38
Mg  0.0000  0.1714  0.7332 [4 per cell]  2 B 2.58, 1 Mg 2.88
Mg  0.5000  0.0000  0.2394 [2 per cell]  2 Zn 2.80, 4 Mg 2.98-3.06
Mg  0.5000  0.2368  0.4772 [4 per cell]  1 B 2.56, 2 Zn 2.72
Zn  0.0000  0.0000  0.4556 [2 per cell]  6 Mg 2.72-2.80
B  0.5000  0.0000  0.8455 [2 per cell]  8 Mg 2.38-2.58


- electronic total energy of number 4 (MgBTe2)?
  -0.26437 Ry per atom


Repeat the third record exactly.
A relaxed Mg2BTe crystal. Source: Alexandria, functional GGA-PBEsol.

N(E_F) (states/eV per cell): 9.26
Energy relative to the elements, uncorrected (meV/atom): 587
Electronic total energy (Ry per atom): -0.21367
ρ (g/cm3): 4.1

Lattice parameters (Å, degrees): 6.7271 6.7271 6.7271 90.00 90.00 90.00
Last column: nearest neighbours and their distance in Å.
Space group Fm-3m (No. 225)
Asymmetric unit:
Mg  0.2500  0.2500  0.2500 [8 per cell]  4 Te 2.91, 4 B 2.91
B  0.0000  0.0000  0.0000 [4 per cell]  8 Mg 2.91
Te  0.0000  0.0000  0.5000 [4 per cell]  8 Mg 2.91


- Which value of N(E_F) does entry 5 give?
  15.34 states/eV per cell